Record 1
Here is an optimized crystal structure of Cd2CuMoH from Alexandria. Energies are from PBE.

Values from the calculation:
DOS at the Fermi energy = 2.25 states/eV/f.u.
Size of the total moment = 0.329 μB/atom
DFT total energy = -16.89 eV per cell

Cell lengths 5.3120, 2.9318, 5.3120 Å; angles 90.00, 90.00, 90.00 degrees
Positions (direct):
Mo 0.5000 0.5000 0.5000
Cd 0.5000 0.0000 0.0000
Cu 0.0000 0.0000 0.0000
H 0.0000 0.5000 0.0000
Cd 0.0000 0.0000 0.5000

=====

Record 2
Here is an optimized crystal structure of CaReNi2 from Alexandria. Energies are from PBE.

Values from the calculation:
Relative energy among the computed polymorphs = 583 meV/atom
Energy relative to the elements = 0.76 eV per atom
DOS at the Fermi energy = 5.33 states/eV/f.u.
Size of the total moment = 0.272 μB/atom
DFT total energy = -22.98 eV per cell

Cell lengths 4.3916, 4.3916, 4.3916 Å; angles 60.00, 60.00, 60.00 degrees
Positions (direct):
Ni 0.0000 0.0000 0.0000
Re 0.7500 0.7500 0.7500
Ca 0.5000 0.5000 0.5000
Ni 0.2500 0.2500 0.2500

=====

Record 3
Here is an optimized crystal structure of CoTeP2 from Alexandria. Energies are from PBE.

Values from the calculation:
Formation energy without anion corrections = -3.3 meV per atom
DOS at the Fermi energy = 1.98 states/eV/f.u.
Size of the total moment = 0.000 μB/atom
DFT total energy = -21.08 eV per cell

Cell lengths 3.3044, 4.2149, 5.6397 Å; angles 85.92, 90.00, 90.00 degrees
Positions (direct):
Te 0.0000 0.6060 0.5397
P 0.5000 0.2408 0.9979
Co 0.5000 0.7360 0.8588
P 0.0000 0.9171 0.1036

=====

Record 4
Here is an optimized crystal structure of BaYH3 from Alexandria. Energies are from PBE.

Values from the calculation:
Relative energy among the computed polymorphs = 670 meV/atom
DOS at the Fermi energy = 5.31 states/eV/f.u.
Size of the total moment = 0.003 μB/atom
DFT total energy = -16.85 eV per cell

Cell lengths 4.7108, 4.7108, 4.7108 Å; angles 90.00, 90.00, 90.00 degrees
Positions (direct):
H 0.0000 0.5000 0.0000
Ba 0.0000 0.0000 0.0000
Y 0.5000 0.5000 0.5000
H 0.5000 0.0000 0.0000
H 0.0000 0.0000 0.5000

=====

Record 5
Here is an optimized crystal structure of Ac2ThSb from Alexandria. Energies are from PBE.

Values from the calculation:
Relative energy among the computed polymorphs = 0 meV/atom
Formation energy without anion corrections = -338.9 meV per atom
DOS at the Fermi energy = 4.02 states/eV/f.u.
Size of the total moment = 0.000 μB/atom
DFT total energy = -21.11 eV per cell

Cell lengths 5.1382, 5.1621, 5.1621 Å; angles 90.00, 90.00, 90.00 degrees
Positions (direct):
Sb 0.5000 0.5000 0.5000
Th 0.5000 0.0000 0.0000
Ac 0.0000 0.0000 0.5000
Ac 0.0000 0.5000 0.0000

=====

Record 6
Here is an optimized crystal structure of Be3Tl from Alexandria. Energies are from PBE.

Values from the calculation:
Relative energy among the computed polymorphs = 1172 meV/atom
Energy relative to the elements = 1.53 eV per atom
DOS at the Fermi energy = 1.78 states/eV/f.u.
Size of the total moment = 0.000 μB/atom
DFT total energy = -7.43 eV per cell

Cell lengths 4.5962, 4.5962, 4.5962 Å; angles 90.00, 90.00, 90.00 degrees
Positions (direct):
Tl 0.0000 0.0000 0.0000
Be 0.0000 0.5000 0.0000
Be 0.0000 0.0000 0.5000
Be 0.5000 0.0000 0.0000

=====

Record 7
Here is an optimized crystal structure of MgAgN2 from Alexandria. Energies are from PBE.

Values from the calculation:
Formation energy without anion corrections = 897.9 meV per atom
DOS at the Fermi energy = 2.78 states/eV/f.u.
Size of the total moment = 0.000 μB/atom
DFT total energy = -35.01 eV per cell

Cell lengths 4.6062, 4.6062, 6.2265 Å; angles 68.29, 68.29, 90.00 degrees
Positions (direct):
N 0.8750 0.8772 0.7500
Mg 0.5000 0.5000 0.0000
N 0.1228 0.6250 0.2500
Mg 0.2500 0.7500 0.5000
N 0.3750 0.3728 0.7500
Ag 0.7500 0.2500 0.5000
N 0.6272 0.1250 0.2500
Ag 0.0000 0.0000 0.0000

=====

Record 8
Here is an optimized crystal structure of AcPdS2 from Alexandria. Energies are from PBE.

Values from the calculation:
Relative energy among the computed polymorphs = 107 meV/atom
Formation energy without anion corrections = -1164.5 meV per atom
DOS at the Fermi energy = 4.61 states/eV/f.u.
Size of the total moment = 0.000 μB/atom
DFT total energy = -22.21 eV per cell

Cell lengths 4.5059, 4.5059, 5.5780 Å; angles 66.18, 66.18, 60.00 degrees
Positions (direct):
S 0.7313 0.7313 0.8061
Ac 0.5000 0.5000 0.5000
Pd 0.0000 0.0000 0.0000
S 0.2687 0.2687 0.1939

=====

Record 9
Here is an optimized crystal structure of TbTm5Th from Alexandria. Energies are from PBE.

Values from the calculation:
Relative energy among the computed polymorphs = 0 meV/atom
Energy relative to the elements = 0.19 eV per atom
DOS at the Fermi energy = 11.54 states/eV/f.u.
Size of the total moment = 0.000 μB/atom
DFT total energy = -66.11 eV per cell

Cell lengths 6.0767, 9.1951, 8.5360 Å; angles 86.09, 78.09, 70.71 degrees
Positions (direct):
Tb 0.5131 0.9737 0.7500
Th 0.0000 0.0000 0.5000
Tm 0.2264 0.3143 0.9606
Tm 0.3895 0.6258 0.8536
Tm 0.5407 0.6857 0.4606
Th 0.0000 0.0000 0.0000
Tb 0.4869 0.0263 0.2500
Tm 0.4593 0.3143 0.5394
Tm 0.7736 0.6857 0.0394
Tm 0.1489 0.7022 0.2500
Tm 0.8511 0.2978 0.7500
Tm 0.9848 0.6258 0.6464
Tm 0.0152 0.3742 0.3536
Tm 0.6105 0.3742 0.1464

=====

Record 10
Here is an optimized crystal structure of GaTcPCl2 from Alexandria. Energies are from PBE.

Values from the calculation:
Relative energy among the computed polymorphs = 0 meV/atom
Formation energy without anion corrections = 14.2 meV per atom
DOS at the Fermi energy = 3.17 states/eV/f.u.
Size of the total moment = 0.208 μB/atom
DFT total energy = -22.42 eV per cell

Cell lengths 5.0387, 5.0387, 4.5508 Å; angles 90.00, 90.00, 90.00 degrees
Positions (direct):
Cl 0.0000 0.5000 0.0000
P 0.0000 0.0000 0.5000
Tc 0.0000 0.0000 0.0000
Cl 0.5000 0.0000 0.0000
Ga 0.5000 0.5000 0.5000

=====

Record 11
Here is an optimized crystal structure of InNiSn2Hg from Alexandria. Energies are from PBE.

Values from the calculation:
Relative energy among the computed polymorphs = 46 meV/atom
Energy relative to the elements = 0.06 eV per atom
DOS at the Fermi energy = 1.99 states/eV/f.u.
Size of the total moment = 0.000 μB/atom
DFT total energy = -16.52 eV per cell

Cell lengths 4.9861, 4.9861, 5.1360 Å; angles 90.00, 90.00, 90.00 degrees
Positions (direct):
Hg 0.0000 0.0000 0.5000
Sn 0.0000 0.5000 0.0000
Sn 0.5000 0.0000 0.0000
Ni 0.0000 0.0000 0.0000
In 0.5000 0.5000 0.5000

=====

Record 12
Here is an optimized crystal structure of AcZn2PtRh from Alexandria. Energies are from PBE.

Values from the calculation:
Energy relative to the elements = -0.56 eV per atom
DOS at the Fermi energy = 1.84 states/eV/f.u.
Size of the total moment = 0.000 μB/atom
DFT total energy = -22.85 eV per cell

Cell lengths 4.2526, 4.0381, 6.5535 Å; angles 107.94, 108.93, 90.00 degrees
Positions (direct):
Zn 0.6935 0.1935 0.3870
Pt 0.1935 0.6935 0.3870
Zn 0.0596 0.0596 0.1192
Rh 0.8431 0.8431 0.6862
Ac 0.4224 0.4224 0.8449

=====

Record 13
Here is an optimized crystal structure of LaZn2SiPt from Alexandria. Energies are from PBE.

Values from the calculation:
Formation energy without anion corrections = -684.4 meV per atom
DOS at the Fermi energy = 2.77 states/eV/f.u.
Size of the total moment = 0.000 μB/atom
DFT total energy = -22.36 eV per cell

Cell lengths 4.2798, 4.3012, 6.0011 Å; angles 111.00, 110.89, 90.00 degrees
Positions (direct):
La 0.4394 0.4394 0.8789
Zn 0.0578 0.0578 0.1157
Si 0.8195 0.8195 0.6389
Pt 0.2033 0.7033 0.4067
Zn 0.6921 0.1921 0.3842